[1]
A plane-wave DFT calculation with PBE was carried out for an optimized crystal structure of Rb6Br4Cl.

Results
Volume   44.8 Å³/atom
Formation energy without anion corrections   -1.53 eV/atom

```
Rb6Br4Cl
1.0
7.0845 4.0902 5.6630
-7.0845 4.0902 5.6630
0.0000 -8.1804 5.6630
Rb Br Cl
12 8 2
Direct
0.0564 0.9137 0.6912 Rb
0.0863 0.3088 0.9436 Rb
0.1912 0.4137 0.5564 Rb
0.3088 0.9436 0.0863 Rb
0.4137 0.5564 0.1912 Rb
0.4436 0.8088 0.5863 Rb
0.5564 0.1912 0.4137 Rb
0.5863 0.4436 0.8088 Rb
0.6912 0.0564 0.9137 Rb
0.8088 0.5863 0.4436 Rb
0.9137 0.6912 0.0564 Rb
0.9436 0.0863 0.3088 Rb
0.1282 0.7500 0.3718 Br
0.2500 0.2500 0.2500 Br
0.2500 0.6282 0.8718 Br
0.3718 0.1282 0.7500 Br
0.6282 0.8718 0.2500 Br
0.7500 0.3718 0.1282 Br
0.7500 0.7500 0.7500 Br
0.8718 0.2500 0.6282 Br
0.0000 0.0000 0.0000 Cl
0.5000 0.5000 0.5000 Cl
```

---

[2]
A plane-wave DFT calculation with PBE was carried out for an optimized crystal structure of K3NaNp2S6.

Results
Volume   26.5 Å³/atom
Formation energy without anion corrections   -1.37 eV/atom

```
K3NaNp2S6
1.0
3.5461 -6.1403 0.0000
3.5461 6.1403 0.0000
-2.3646 0.0000 7.3098
K Na Np S
3 1 2 6
Direct
0.0000 0.0000 0.0000 K
0.3420 0.6580 0.0000 K
0.6580 0.3420 0.0000 K
0.5000 0.5000 0.5000 Na
0.1673 0.8327 0.5000 Np
0.8327 0.1673 0.5000 Np
0.0712 0.4324 0.2983 S
0.2071 0.2071 0.6992 S
0.4324 0.0712 0.2983 S
0.5676 0.9288 0.7017 S
0.7929 0.7929 0.3008 S
0.9288 0.5676 0.7017 S
```

---

[3]
A plane-wave DFT calculation with PBE was carried out for an optimized crystal structure of Cu2HgBr.

Results
Volume   20.2 Å³/atom
Distance to the lowest polymorph of the same formula   0.754 eV/f.u.
Formation energy without anion corrections   0.19 eV/atom

```
Cu2HgBr
1.0
2.3473 -2.4134 0.0000
2.3473 2.4134 0.0000
0.0000 0.0000 7.1455
Cu Hg Br
2 1 1
Direct
0.0000 0.0000 0.0000 Cu
0.5000 0.5000 0.1786 Cu
0.5000 0.5000 0.8011 Hg
0.0000 0.0000 0.3640 Br
```

---

[4]
A plane-wave DFT calculation with PBE was carried out for an optimized crystal structure of NiTeAs2.

Results
Volume   18.8 Å³/atom
Formation energy without anion corrections   0.47 eV/atom

```
NiTeAs2
1.0
-2.3475 2.3475 3.4182
2.3475 -2.3475 3.4182
2.3475 2.3475 -3.4182
Ni Te As
1 1 2
Direct
0.0000 0.0000 0.0000 Ni
0.2500 0.7500 0.5000 Te
0.5000 0.5000 0.0000 As
0.7500 0.2500 0.5000 As
```

---

[5]
A plane-wave DFT calculation with PBE was carried out for an optimized crystal structure of Nd2HN.

Results
Volume   17.4 Å³/atom
Final energy   -5.9781 eV/atom

```
Nd2HN
1.0
3.5466 0.0000 0.0000
0.0000 6.2810 0.0000
0.0000 0.0000 6.2376
Nd H N
4 2 2
Direct
0.2500 0.0053 0.2341 Nd
0.2500 0.4947 0.2341 Nd
0.7500 0.5053 0.7659 Nd
0.7500 0.9947 0.7659 Nd
0.2500 0.2500 0.6029 H
0.7500 0.7500 0.3971 H
0.2500 0.7500 0.9343 N
0.7500 0.2500 0.0657 N
```

---

[6]
A plane-wave DFT calculation with PBE was carried out for an optimized crystal structure of Dy2Mg2Cd15.

Results
Volume   22.9 Å³/atom
E_form   -0.108 eV per atom

```
Dy2Mg2Cd15
1.0
4.9931 2.8828 5.0314
-4.9931 2.8828 5.0314
0.0000 -5.7656 5.0314
Dy Mg Cd
2 2 15
Direct
0.1685 0.1685 0.1685 Dy
0.8315 0.8315 0.8315 Dy
0.3978 0.3978 0.3978 Mg
0.6022 0.6022 0.6022 Mg
0.0000 0.5000 0.5000 Cd
0.1365 0.1365 0.6572 Cd
0.1365 0.6572 0.1365 Cd
0.2026 0.5000 0.7974 Cd
0.2026 0.7974 0.5000 Cd
0.3428 0.8635 0.8635 Cd
0.5000 0.0000 0.5000 Cd
0.5000 0.2026 0.7974 Cd
0.5000 0.5000 0.0000 Cd
0.5000 0.7974 0.2026 Cd
0.6572 0.1365 0.1365 Cd
0.7974 0.2026 0.5000 Cd
0.7974 0.5000 0.2026 Cd
0.8635 0.3428 0.8635 Cd
0.8635 0.8635 0.3428 Cd
```

---

[7]
A plane-wave DFT calculation with PBE was carried out for an optimized crystal structure of KCaNb.

Results
Volume   38.4 Å³/atom
Distance to the lowest polymorph of the same formula   1.450 eV/f.u.
E_form   0.764 eV per atom

```
KCaNb
1.0
4.5354 0.0000 0.0000
0.0000 6.8097 0.0000
0.0000 0.0000 14.9332
K Ca Nb
4 4 4
Direct
0.2461 0.2500 0.1604 K
0.2539 0.7500 0.6604 K
0.7461 0.2500 0.3396 K
0.7539 0.7500 0.8396 K
0.2475 0.2500 0.5603 Ca
0.2525 0.7500 0.0603 Ca
0.7475 0.2500 0.9397 Ca
0.7525 0.7500 0.4397 Ca
0.2480 0.2500 0.7793 Nb
0.2520 0.7500 0.2793 Nb
0.7480 0.2500 0.7207 Nb
0.7520 0.7500 0.2207 Nb
```

---

[8]
A plane-wave DFT calculation with PBE was carried out for an optimized crystal structure of NbV5Mo6.

Results
Volume   14.9 Å³/atom
E_form   -0.115 eV per atom

```
NbV5Mo6
1.0
-2.2014 3.0999 6.5700
2.2014 -3.0999 6.5700
2.2014 3.0999 -6.5700
Nb V Mo
1 5 6
Direct
0.0000 0.0000 0.0000 Nb
0.1686 0.6686 0.5000 V
0.3330 0.3330 0.0000 V
0.5000 0.0000 0.5000 V
0.6670 0.6670 0.0000 V
0.8314 0.3314 0.5000 V
0.0839 0.8308 0.2532 Mo
0.2560 0.5000 0.7560 Mo
0.4224 0.1692 0.2532 Mo
0.5776 0.8308 0.7468 Mo
0.7440 0.5000 0.2440 Mo
0.9161 0.1692 0.7468 Mo
```